DFT (PBE) results for a relaxed ZnGa crystal.

a = 2.6619 Å, b = 3.1416 Å, c = 8.2551 Å
α = 90.00°, β = 99.31°, γ = 90.00°
Last column: nearest neighbours and their distance in Å.
Element x y z (fractional)
Zn (0.1943, 0.2500, 0.8874)  6 Zn 2.66-2.76, 4 Ga 2.86
Zn (0.8057, 0.7500, 0.1126)  6 Zn 2.66-2.76, 4 Ga 2.86
Ga (0.4285, 0.2500, 0.3557)  4 Ga 2.66-2.83, 4 Zn 2.86
Ga (0.5715, 0.7500, 0.6443)  4 Ga 2.66-2.83, 4 Zn 2.86

Calculated values
* crystal system: monoclinic
* symmetry: P2_1/m (11)
* E: -2.132 eV per atom
* formation energy from the elements: 0.41 kcal/mol of atoms
* volume: 17.03 Å³/atom